# TlNiAsO4, optimized geometry, DFT PBE with a Hubbard U
# V in Å³ per atom: 14.026
# Total magnetization in Bohr magnetons per cell: 3.90
# Total energy in Ry per atom: -0.3702
# SG: Imma
data_TlNiAsO4
_cell_length_a 6.4451
_cell_length_b 6.4451
_cell_length_c 6.4451
_cell_angle_alpha 121.09
_cell_angle_beta 112.24
_cell_angle_gamma 96.03
_space_group_name_H-M_alt 'P 1'
_space_group_IT_number 1
loop_
_space_group_symop_operation_xyz
'x,y,z'
loop_
_atom_site_label
_atom_site_type_symbol
_atom_site_fract_x
_atom_site_fract_y
_atom_site_fract_z
Tl1 Tl 0.5000 0.0000 0.0000
Tl2 Tl 0.5000 0.5000 0.5000
Ni1 Ni 0.0000 0.0000 0.0000
Ni2 Ni 0.5000 0.0000 0.5000
As1 As 0.0884 0.3384 0.7500
As2 As 0.9116 0.6616 0.2500
O1 O 0.1857 0.2299 0.9558
O2 O 0.2065 0.2318 0.5253
O3 O 0.2065 0.6812 0.9747
O4 O 0.2260 0.7701 0.4558
O5 O 0.7740 0.2299 0.5442
O6 O 0.7935 0.3188 0.0253
O7 O 0.7935 0.7682 0.4747
O8 O 0.8143 0.7701 0.0442